Record 1
# Mo2Ir3Rh8 | Alexandria | PBE-GGA | optimized geometry
# **M_tot**: 0.000 μB/atom
# **Total DFT energy (no corrections)**: -7.969 eV/atom
# **Calculated density**: 13.0 g/cm³
# **Energy relative to the elements**: 266 meV per atom
data_Mo2Ir3Rh8
_space_group_name_H-M_alt 'C 1 2/m 1'
_space_group_IT_number 12
_cell_length_a 14.776
_cell_length_b 6.418
_cell_length_c 4.304
_cell_angle_alpha 90.00
_cell_angle_beta 91.65
_cell_angle_gamma 90.00
loop_
_space_group_symop_operation_xyz
'x,y,z'
'-x,-y,-z'
'-x,y,-z'
'x,-y,z'
'x+1/2,y+1/2,z'
'-x+1/2,-y+1/2,-z'
'-x+1/2,y+1/2,-z'
'x+1/2,-y+1/2,z'
loop_
_atom_site_label
_atom_site_type_symbol
_atom_site_fract_x
_atom_site_fract_y
_atom_site_fract_z
Mo1 Mo 0.229 0.000 0.467
Ir1 Ir 0.000 0.000 0.500
Ir2 Ir 0.000 0.296 0.000
Rh1 Rh 0.118 0.291 0.512
Rh2 Rh 0.134 0.000 0.980
Rh3 Rh 0.166 0.500 0.014


Record 2
# MoIrRh4 | Alexandria | PBE-GGA | optimized geometry
# **M_tot**: 0.000 μB/atom
# **Total DFT energy (no corrections)**: -7.804 eV/atom
# **Calculated density**: 12.0 g/cm³
# **Energy relative to the elements**: 379 meV per atom
data_MoIrRh4
_space_group_name_H-M_alt 'C m c m'
_space_group_IT_number 63
_space_group_name_Hall '-C 2c 2'
_cell_length_a 4.328
_cell_length_b 12.246
_cell_length_c 7.337
_cell_angle_alpha 90.00
_cell_angle_beta 90.00
_cell_angle_gamma 90.00
loop_
_atom_site_label
_atom_site_type_symbol
_atom_site_fract_x
_atom_site_fract_y
_atom_site_fract_z
Mo1 Mo 0.000 0.140 0.250
Ir1 Ir 0.000 0.343 0.250
Rh1 Rh 0.000 0.050 0.750
Rh2 Rh 0.000 0.259 0.583
Rh3 Rh 0.000 0.500 0.000


Record 3
# MoIr3Rh2 | Alexandria | PBE-GGA | optimized geometry
# **M_tot**: 0.000 μB/atom
# **Total DFT energy (no corrections)**: -8.591 eV/atom
# **Calculated density**: 16.2 g/cm³
# **Energy relative to the elements**: 95 meV per atom
data_MoIr3Rh2
_space_group_name_H-M_alt 'C m c m'
_space_group_IT_number 63
_space_group_name_Hall '-C 2c 2'
_cell_length_a 5.453
_cell_length_b 13.470
_cell_length_c 4.918
_cell_angle_alpha 90.00
_cell_angle_beta 90.00
_cell_angle_gamma 90.00
loop_
_atom_site_label
_atom_site_type_symbol
_atom_site_fract_x
_atom_site_fract_y
_atom_site_fract_z
Mo1 Mo 0.000 0.149 0.250
Ir1 Ir 0.000 0.349 0.750
Ir2 Ir 0.250 0.181 0.750
Rh1 Rh 0.248 0.000 0.000


Record 4
# MoIrRh | Alexandria | PBE-GGA | optimized geometry
# **M_tot**: 0.000 μB/atom
# **Total DFT energy (no corrections)**: -9.025 eV/atom
# **Calculated density**: 14.4 g/cm³
# **Energy relative to the elements**: -11 meV per atom
data_MoIrRh
_space_group_name_H-M_alt 'P 63/m m c'
_space_group_IT_number 194
_space_group_name_Hall '-P 6c 2c'
_cell_length_a 4.3593
_cell_length_b 4.3593
_cell_length_c 5.4686
_cell_angle_alpha 90.00
_cell_angle_beta 90.00
_cell_angle_gamma 120.00
loop_
_atom_site_label
_atom_site_type_symbol
_atom_site_fract_x
_atom_site_fract_y
_atom_site_fract_z
Mo1 Mo 0.0000 0.0000 0.0000
Ir1 Ir 0.3333 0.6667 0.2500
Rh1 Rh 0.3333 0.6667 0.7500


Record 5
# Mo2Ir2Rh | Alexandria | PBE-GGA | optimized geometry
# **M_tot**: 0.000 μB/atom
# **Total DFT energy (no corrections)**: -9.397 eV/atom
# **Calculated density**: 14.3 g/cm³
# **Energy relative to the elements**: -50 meV per atom
data_Mo2Ir2Rh
_space_group_name_H-M_alt 'P 4/m b m'
_space_group_IT_number 127
_space_group_name_Hall '-P 4 2ab'
_cell_length_a 7.485
_cell_length_b 7.485
_cell_length_c 2.815
_cell_angle_alpha 90.00
_cell_angle_beta 90.00
_cell_angle_gamma 90.00
loop_
_atom_site_label
_atom_site_type_symbol
_atom_site_fract_x
_atom_site_fract_y
_atom_site_fract_z
Mo1 Mo 0.170 0.330 0.000
Ir1 Ir 0.128 0.628 0.500
Rh1 Rh 0.000 0.000 0.500


Record 6
# MoIr3Rh2 | Alexandria | PBE-GGA | optimized geometry
# **M_tot**: 0.000 μB/atom
# **Total DFT energy (no corrections)**: -8.869 eV/atom
# **Calculated density**: 16.7 g/cm³
# **Energy relative to the elements**: -183 meV per atom
data_MoIr3Rh2
_space_group_name_H-M_alt 'P 1 21/m 1'
_space_group_IT_number 11
_cell_length_a 5.459
_cell_length_b 3.878
_cell_length_c 8.254
_cell_angle_alpha 90.00
_cell_angle_beta 90.23
_cell_angle_gamma 90.00
loop_
_space_group_symop_operation_xyz
'x,y,z'
'-x,-y,-z'
'-x,y+1/2,-z'
'x,-y+1/2,z'
loop_
_atom_site_label
_atom_site_type_symbol
_atom_site_fract_x
_atom_site_fract_y
_atom_site_fract_z
Mo1 Mo 0.130 0.250 0.246
Ir1 Ir 0.126 0.250 0.918
Ir2 Ir 0.370 0.750 0.412
Ir3 Ir 0.374 0.750 0.747
Rh1 Rh 0.126 0.250 0.582
Rh2 Rh 0.371 0.750 0.090


Record 7
# Mo3Ir2Rh6 | Alexandria | PBE-GGA | optimized geometry
# **M_tot**: 0.000 μB/atom
# **Total DFT energy (no corrections)**: -8.597 eV/atom
# **Calculated density**: 12.9 g/cm³
# **Energy relative to the elements**: -22 meV per atom
data_Mo3Ir2Rh6
_space_group_name_H-M_alt 'P 1'
_space_group_IT_number 1
_cell_length_a 4.747
_cell_length_b 6.440
_cell_length_c 6.552
_cell_angle_alpha 105.25
_cell_angle_beta 107.80
_cell_angle_gamma 108.40
loop_
_space_group_symop_operation_xyz
'x,y,z'
loop_
_atom_site_label
_atom_site_type_symbol
_atom_site_fract_x
_atom_site_fract_y
_atom_site_fract_z
Mo1 Mo 0.000 0.000 0.000
Mo2 Mo 0.042 0.619 0.707
Mo3 Mo 0.521 0.692 0.494
Ir1 Ir 0.105 0.447 0.030
Ir2 Ir 0.492 0.891 0.146
Rh1 Rh 0.008 0.784 0.335
Rh2 Rh 0.417 0.243 0.451
Rh3 Rh 0.474 0.060 0.793
Rh4 Rh 0.579 0.547 0.881
Rh5 Rh 0.872 0.335 0.295
Rh6 Rh 0.941 0.141 0.617


Record 8
# MoIrRh3 | Alexandria | PBE-GGA | optimized geometry
# **M_tot**: 0.768 μB/atom
# **Total DFT energy (no corrections)**: -6.666 eV/atom
# **Calculated density**: 9.6 g/cm³
# **Energy relative to the elements**: 1683 meV per atom
data_MoIrRh3
_space_group_name_H-M_alt 'P m -3 m'
_space_group_IT_number 221
_space_group_name_Hall '-P 4 2 3'
_cell_length_a 4.692
_cell_length_b 4.692
_cell_length_c 4.692
_cell_angle_alpha 90.00
_cell_angle_beta 90.00
_cell_angle_gamma 90.00
loop_
_atom_site_label
_atom_site_type_symbol
_atom_site_fract_x
_atom_site_fract_y
_atom_site_fract_z
Mo1 Mo 0.000 0.000 0.000
Ir1 Ir 0.500 0.500 0.500
Rh1 Rh 0.000 0.500 0.500


Record 9
# Mo2Ir2Rh | Alexandria | PBE-GGA | optimized geometry
# **M_tot**: 0.000 μB/atom
# **Total DFT energy (no corrections)**: -9.253 eV/atom
# **Calculated density**: 14.2 g/cm³
# **Energy relative to the elements**: 94 meV per atom
data_Mo2Ir2Rh
_space_group_name_H-M_alt 'P 4/m b m'
_space_group_IT_number 127
_space_group_name_Hall '-P 4 2ab'
_cell_length_a 7.572
_cell_length_b 7.572
_cell_length_c 2.778
_cell_angle_alpha 90.00
_cell_angle_beta 90.00
_cell_angle_gamma 90.00
loop_
_atom_site_label
_atom_site_type_symbol
_atom_site_fract_x
_atom_site_fract_y
_atom_site_fract_z
Mo1 Mo 0.125 0.375 0.000
Ir1 Ir 0.168 0.668 0.500
Rh1 Rh 0.000 0.000 0.000


Record 10
# MoIr4Rh | Alexandria | PBE-GGA | optimized geometry
# **M_tot**: 0.000 μB/atom
# **Total DFT energy (no corrections)**: -8.617 eV/atom
# **Calculated density**: 17.1 g/cm³
# **Energy relative to the elements**: 321 meV per atom
data_MoIr4Rh
_space_group_name_H-M_alt 'F -4 3 m'
_space_group_IT_number 216
_space_group_name_Hall 'F -4 2 3'
_cell_length_a 7.223
_cell_length_b 7.223
_cell_length_c 7.223
_cell_angle_alpha 90.00
_cell_angle_beta 90.00
_cell_angle_gamma 90.00
loop_
_atom_site_label
_atom_site_type_symbol
_atom_site_fract_x
_atom_site_fract_y
_atom_site_fract_z
Mo1 Mo 0.000 0.000 0.000
Ir1 Ir 0.125 0.125 0.375
Rh1 Rh 0.250 0.250 0.750


Record 11
# MoIrRh | Alexandria | PBE-GGA | optimized geometry
# **M_tot**: 0.000 μB/atom
# **Total DFT energy (no corrections)**: -9.224 eV/atom
# **Calculated density**: 14.7 g/cm³
# **Energy relative to the elements**: -209 meV per atom
data_MoIrRh
_space_group_name_H-M_alt 'I m m 2'
_space_group_IT_number 44
_cell_length_a 2.738
_cell_length_b 3.900
_cell_length_c 8.299
_cell_angle_alpha 90.00
_cell_angle_beta 90.00
_cell_angle_gamma 90.00
loop_
_space_group_symop_operation_xyz
'x,y,z'
'-x,-y,z'
'-x,y,z'
'x,-y,z'
'x+1/2,y+1/2,z+1/2'
'-x+1/2,-y+1/2,z+1/2'
'-x+1/2,y+1/2,z+1/2'
'x+1/2,-y+1/2,z+1/2'
loop_
_atom_site_label
_atom_site_type_symbol
_atom_site_fract_x
_atom_site_fract_y
_atom_site_fract_z
Mo1 Mo 0.000 0.000 0.000
Ir1 Ir 0.000 0.000 0.336
Rh1 Rh 0.000 0.000 0.669


Record 12
# Mo4IrRh7 | Alexandria | PBE-GGA | optimized geometry
# **M_tot**: 0.000 μB/atom
# **Total DFT energy (no corrections)**: -8.279 eV/atom
# **Calculated density**: 11.1 g/cm³
# **Energy relative to the elements**: 359 meV per atom
data_Mo4IrRh7
_space_group_name_H-M_alt 'C 1 2/m 1'
_space_group_IT_number 12
_cell_length_a 10.289
_cell_length_b 4.631
_cell_length_c 9.379
_cell_angle_alpha 90.00
_cell_angle_beta 119.90
_cell_angle_gamma 90.00
loop_
_space_group_symop_operation_xyz
'x,y,z'
'-x,-y,-z'
'-x,y,-z'
'x,-y,z'
'x+1/2,y+1/2,z'
'-x+1/2,-y+1/2,-z'
'-x+1/2,y+1/2,-z'
'x+1/2,-y+1/2,z'
loop_
_atom_site_label
_atom_site_type_symbol
_atom_site_fract_x
_atom_site_fract_y
_atom_site_fract_z
Mo1 Mo 0.082 0.000 0.269
Mo2 Mo 0.231 0.000 0.819
Ir1 Ir 0.000 0.500 0.500
Rh1 Rh 0.000 0.000 0.500
Rh2 Rh 0.069 0.500 0.848
Rh3 Rh 0.144 0.000 0.052
Rh4 Rh 0.213 0.500 0.408


Record 13
# Mo3IrRh6 | Alexandria | PBE-GGA | optimized geometry
# **M_tot**: 0.000 μB/atom
# **Total DFT energy (no corrections)**: -8.357 eV/atom
# **Calculated density**: 11.8 g/cm³
# **Energy relative to the elements**: 189 meV per atom
data_Mo3IrRh6
_space_group_name_H-M_alt 'C 1 2/m 1'
_space_group_IT_number 12
_cell_length_a 9.390
_cell_length_b 5.152
_cell_length_c 6.706
_cell_angle_alpha 90.00
_cell_angle_beta 107.37
_cell_angle_gamma 90.00
loop_
_space_group_symop_operation_xyz
'x,y,z'
'-x,-y,-z'
'-x,y,-z'
'x,-y,z'
'x+1/2,y+1/2,z'
'-x+1/2,-y+1/2,-z'
'-x+1/2,y+1/2,-z'
'x+1/2,-y+1/2,z'
loop_
_atom_site_label
_atom_site_type_symbol
_atom_site_fract_x
_atom_site_fract_y
_atom_site_fract_z
Mo1 Mo 0.000 0.000 0.000
Mo2 Mo 0.110 0.000 0.673
Ir1 Ir 0.000 0.500 0.500
Rh1 Rh 0.153 0.253 0.305
Rh2 Rh 0.157 0.500 0.925